DFT (PBE) results for an optimized crystal structure of Tb3CeBi4.

Computed properties:
**DFT total energy**: -5.2722 eV per atom
**Volume**: 32.7 Å³/atom
**Total magnetic moment**: 0.84 Bohr magnetons per cell
**Energy relative to the lowest polymorph listed for this composition**: 0.034 eV/f.u.

Geometry as POSCAR:
```
Tb3CeBi4
1.0
6.394 0.000 0.000
0.000 6.394 0.000
0.000 0.000 6.394
Tb Ce Bi
3 1 4
Direct
0.000 0.000 0.500
0.000 0.500 0.000
0.500 0.000 0.000
0.500 0.500 0.500
0.000 0.000 0.000
0.000 0.500 0.500
0.500 0.000 0.500
0.500 0.500 0.000
```